Compound: TbPr2Er4
Source: Alexandria
Functional: PBE
Structure: relaxed

Magnetization in μB/cell: 0.00
Space group: I-42d (122)
Energy above the lowest structure with this stoichiometry in eV per atom: 0.087

a b c (Å): 8.4589 8.4656 8.4595
angles (deg): 109.54 109.31 109.53
Fractional positions:
Tb 0.7500 0.5000 0.2501
Tb 0.0001 0.0000 0.0001
Pr 0.3748 0.8765 0.7515
Pr 0.5015 0.3765 0.6248
Pr 0.8750 0.1235 0.4983
Pr 0.2483 0.6235 0.1250
Er 0.7886 0.2496 0.8760
Er 0.9611 0.5871 0.7111
Er 0.6264 0.7505 0.5391
Er 0.1239 0.4129 0.3740
Er 0.4610 0.0871 0.2111
Er 0.6260 0.7495 0.0387
Er 0.2890 0.2504 0.8764
Er 0.1240 0.9129 0.3739